BaHoFe4O7 after structural relaxation. Source: Alexandria, functional PBE with a Hubbard U.

Computed properties:
E_tot: -89.427 eV per cell
Symmetry: I-4, No. 82
Crystal system: tetragonal
Energy above the lowest structure with this stoichiometry: 0.044 eV/atom

Cell: 6.4620 6.4620 6.4620 Å, 121.40 121.40 87.60°
Closest atoms and distances in Å follow each position.
Fractional coordinates of all 13 atoms:
Ba1 0.2500 0.7500 0.5000  4 O 2.76
Ho1 0.0000 0.0000 0.0000  6 O 2.28
Fe1 0.6212 0.4118 0.2724  4 O 1.97-2.05
Fe2 0.1393 0.3488 0.7276  4 O 1.97-2.05
Fe3 0.5882 0.8607 0.2094  4 O 1.97-2.05
Fe4 0.6512 0.3788 0.7906  4 O 1.97-2.05
O1 0.2186 0.7224 0.8949  2 Fe 1.97-2.02
O2 0.8275 0.3237 0.1051  2 Fe 1.97-2.02
O3 0.2776 0.1725 0.4962  2 Fe 1.97-2.02
O4 0.6763 0.7814 0.5038  2 Fe 1.97-2.02
O5 0.7552 0.7552 0.0000  2 Fe 1.99
O6 0.2448 0.2448 0.0000  2 Fe 1.99
O7 0.7500 0.2500 0.5000  4 Fe 2.05



Ba2HoFeO5 after structural relaxation. Source: Alexandria, functional PBE with a Hubbard U.

Computed properties:
E_tot: -123.574 eV per cell
Symmetry: Cmc2_1, No. 36
Crystal system: orthorhombic

Cell: 3.5625 7.7510 11.4931 Å, 90.00 90.00 103.29°
Closest atoms and distances in Å follow each position.
Fractional coordinates of all 18 atoms:
Ba1 0.8618 0.7237 0.8252  7 O 2.73-2.94
Ba2 0.1061 0.2123 0.6720  6 O 2.72-2.92
Ba3 0.1382 0.2763 0.3252  7 O 2.73-2.94
Ba4 0.8939 0.7877 0.1720  6 O 2.72-2.92
Ho1 0.7948 0.5895 0.5320  5 O 2.14-2.38
Ho2 0.2052 0.4105 0.0320  5 O 2.14-2.38
Fe1 0.5498 0.0996 0.9350  4 O 1.85-1.98
Fe2 0.4502 0.9004 0.4350  4 O 1.85-1.98
O1 0.3458 0.6916 0.0051  1 Ho 2.14
O2 0.6754 0.3508 0.9010  1 Fe 1.94
O3 0.4966 0.9932 0.7902  1 Fe 1.85
O4 0.2893 0.5787 0.6545  2 Ho 2.27
O5 0.9581 0.9162 0.5090  2 Fe 1.98
O6 0.6542 0.3084 0.5051  1 Ho 2.14
O7 0.3246 0.6492 0.4010  1 Fe 1.94
O8 0.5034 0.0068 0.2902  1 Fe 1.85
O9 0.7107 0.4213 0.1545  2 Ho 2.27
O10 0.0419 0.0838 0.0090  2 Fe 1.98



BaHoFe4O7 after structural relaxation. Source: Alexandria, functional PBE with a Hubbard U.

Computed properties:
E_tot: -180.001 eV per cell
Symmetry: P2_1, No. 4
Crystal system: monoclinic
Energy above the lowest structure with this stoichiometry: 0.000 eV/atom

Cell: 9.2847 6.3401 6.3847 Å, 88.89 90.00 90.00°
Closest atoms and distances in Å follow each position.
Fractional coordinates of all 26 atoms:
Ba1 0.0017 0.2292 0.2335  6 O 2.76-2.90
Ba2 0.5017 0.7708 0.7665  6 O 2.76-2.90
Ho1 0.2506 0.7532 0.2559  6 O 2.25-2.34
Ho2 0.7506 0.2468 0.7441  6 O 2.25-2.34
Fe1 0.6288 0.9859 0.2670  4 O 1.91-1.93
Fe2 0.1288 0.0141 0.7330  4 O 1.91-1.93
Fe3 0.8696 0.7162 0.4814  4 O 1.96-2.07
Fe4 0.3696 0.2838 0.5186  4 O 1.96-2.07
Fe5 0.8773 0.7596 0.9996  4 O 1.99-2.09
Fe6 0.3773 0.2404 0.0004  4 O 1.99-2.09
Fe7 0.6377 0.4915 0.2149  4 O 2.01-2.09
Fe8 0.1377 0.5085 0.7851  4 O 2.01-2.09
O1 0.0092 0.7720 0.2440  2 Fe 1.99-2.02
O2 0.5092 0.2280 0.7560  2 Fe 1.99-2.02
O3 0.5016 0.7530 0.2185  2 Fe 1.92-2.09
O4 0.0016 0.2470 0.7815  2 Fe 1.92-2.09
O5 0.7842 0.4362 0.4431  2 Fe 1.96-2.02
O6 0.2842 0.5638 0.5569  2 Fe 1.96-2.02
O7 0.7597 0.0360 0.0404  2 Fe 1.91-2.09
O8 0.2597 0.9640 0.9596  2 Fe 1.91-2.09
O9 0.7289 0.5416 0.9330  2 Fe 2.00-2.01
O10 0.2289 0.4584 0.0670  2 Fe 2.00-2.01
O11 0.7233 0.9522 0.5339  2 Fe 1.93-2.05
O12 0.2233 0.0478 0.4661  2 Fe 1.93-2.05
O13 0.5064 0.2324 0.2678  4 Fe 1.93-2.09
O14 0.0064 0.7676 0.7322  4 Fe 1.93-2.09



BaHoFe2O5 after structural relaxation. Source: Alexandria, functional PBE with a Hubbard U.

Computed properties:
E_tot: -63.188 eV per cell
Symmetry: P4/mmm, No. 123
Crystal system: tetragonal

Cell: 3.9723 3.9723 7.5935 Å, 90.00 90.00 90.00°
Closest atoms and distances in Å follow each position.
Fractional coordinates of all 9 atoms:
Ba1 0.0000 0.0000 0.5000  12 O 2.81-3.11
Ho1 0.0000 0.0000 0.0000  8 O 2.43
Fe1 0.5000 0.5000 0.2302  5 O 2.02-2.05
Fe2 0.5000 0.5000 0.7698  5 O 2.02-2.05
O1 0.0000 0.5000 0.1843  2 Fe 2.02
O2 0.5000 0.0000 0.1843  2 Fe 2.02
O3 0.0000 0.5000 0.8157  2 Fe 2.02
O4 0.5000 0.0000 0.8157  2 Fe 2.02
O5 0.5000 0.5000 0.5000  2 Fe 2.05



E_tot of number 1 (BaHoFe4O7)?
-89.427 eV per cell